Below is crystalline Ce2TmThSb4 at its relaxed geometry, with properties calculated at the PBE-GGA level.

Summary:
**Final energy**: -6.0543 eV/atom
**Formation energy (no corrections)**: -1.02 eV per atom

Cell lengths 7.707, 4.466, 7.769 Å; angles 90.00, 109.44, 90.00 degrees
Space group P2/m (No. 10)
Inequivalent atoms, fractional coordinates:
Ce 0.000 0.000 0.000 x1
Ce 0.500 0.500 0.000 x1
Tm 0.000 0.500 0.500 x1
Th 0.500 0.000 0.500 x1
Sb 0.242 0.000 0.743 x2
Sb 0.245 0.500 0.253 x2